This record from Alexandria via LeMat-Bulk describes a crystal of Cs2ICl relaxed with PBEsol. The functional is meta-GGA SCAN.

Properties
* size of the total moment: 0.0227 μB/atom
* crystal system: tetragonal
* uncorrected energy: -31.930 eV/atom
* space-group type: No. 122
* V: 431.5 Å³ per cell
* uncorrected formation energy: -712 kJ/mol of formula units

```
Cs2ICl
1.0
8.260 0.125 -0.195
-3.237 7.601 0.195
3.237 3.391 6.805
Cs I Cl
4 2 2
Direct
0.037 0.412 0.125
0.963 0.838 0.625
0.537 0.125 0.838
0.463 0.625 0.412
0.500 0.250 0.250
0.000 0.000 0.000
0.500 0.750 0.750
0.000 0.500 0.500
```



This record from Alexandria via LeMat-Bulk describes a crystal of Ta2SbTe relaxed with PBEsol. The functional is meta-GGA SCAN.

Properties
* size of the total moment: 0.0000 μB/atom
* crystal system: tetragonal
* uncorrected energy: -51.739 eV/atom
* space-group type: No. 123
* V: 77.2 Å³ per cell
* uncorrected formation energy: 70 kJ/mol of formula units

```
Ta2SbTe
1.0
3.375 0.000 0.000
0.000 3.375 0.000
0.000 0.000 6.782
Sb Ta Te
1 2 1
Direct
0.500 0.500 0.500
0.000 0.000 0.742
0.000 0.000 0.258
0.500 0.500 0.000
```



This record from Alexandria via LeMat-Bulk describes a crystal of LiHgIr2 relaxed with PBEsol. The functional is meta-GGA SCAN.

Properties
* size of the total moment: 0.0000 μB/atom
* crystal system: monoclinic
* uncorrected energy: -53.118 eV/atom
* space-group type: No. 12
* formation enthalpy at 0 K: 0.071 eV per atom
* V: 59.5 Å³ per cell

```
LiHgIr2
1.0
2.764 0.000 0.000
0.000 4.738 -0.009
-1.382 -0.718 4.549
Hg Ir Li
1 2 1
Direct
0.000 0.500 0.000
0.245 0.229 0.490
0.755 0.771 0.510
0.500 0.000 0.000
```



This record from Alexandria via LeMat-Bulk describes a crystal of Hg3IF relaxed with PBEsol. The functional is meta-GGA SCAN.

Properties
* size of the total moment: 0.0362 μB/atom
* crystal system: cubic
* uncorrected energy: -48.751 eV/atom
* space-group type: No. 221
* V: 210.5 Å³ per cell
* uncorrected formation energy: 99 kJ/mol of formula units

```
Hg3IF
1.0
-2.866 -1.336 5.039
4.223 -3.967 1.350
3.057 4.227 2.860
I Hg F
1 3 1
Direct
0.000 0.000 0.000
0.000 0.500 0.000
0.000 0.000 0.500
0.500 0.000 0.000
0.500 0.500 0.500
```



This record from Alexandria via LeMat-Bulk describes a crystal of YAg2Br relaxed with PBEsol. The functional is meta-GGA SCAN.

Properties
* size of the total moment: 0.0000 μB/atom
* crystal system: tetragonal
* uncorrected energy: -27.884 eV/atom
* space-group type: No. 123
* V: 85.2 Å³ per cell
* uncorrected formation energy: -145 kJ/mol of formula units

```
YAg2Br
1.0
3.999 0.000 0.000
0.000 3.999 0.000
0.000 0.000 5.330
Y Br Ag
1 1 2
Direct
0.000 0.000 0.500
0.500 0.500 0.500
0.000 0.500 0.000
0.500 0.000 0.000
```



This record from Alexandria via LeMat-Bulk describes a crystal of DyRe2 relaxed with PBEsol. The functional is meta-GGA SCAN.

Properties
* size of the total moment: 0.0000 μB/atom
* crystal system: hexagonal
* uncorrected energy: -63.645 eV/atom
* space-group type: No. 194
* formation enthalpy at 0 K: -0.314 eV per atom
* V: 217.2 Å³ per cell

```
DyRe2
1.0
-2.835 -3.928 -2.306
3.461 2.879 -2.918
6.328 -5.683 1.899
Re Dy
8 4
Direct
0.171 0.341 0.750
0.171 0.829 0.750
0.341 0.171 0.250
0.829 0.659 0.250
0.659 0.829 0.750
0.000 0.000 0.000
0.829 0.171 0.250
0.000 0.000 0.500
0.333 0.667 0.438
0.667 0.333 0.562
0.667 0.333 0.938
0.333 0.667 0.062
```



This record from Alexandria via LeMat-Bulk describes a crystal of Ca2WSe relaxed with PBEsol. The functional is meta-GGA SCAN.

Properties
* size of the total moment: 0.0000 μB/atom
* crystal system: orthorhombic
* uncorrected energy: -26.964 eV/atom
* space-group type: No. 65
* V: 84.8 Å³ per cell
* uncorrected formation energy: 119 kJ/mol of formula units

```
Ca2WSe
1.0
-1.438 -2.658 -0.631
4.000 -1.375 -3.325
1.185 -1.811 4.926
Ca Se W
2 1 1
Direct
0.000 0.000 0.500
0.000 0.500 0.000
0.500 0.500 0.500
0.500 0.000 0.000
```



This record from Alexandria via LeMat-Bulk describes a crystal of NaTa2Nb relaxed with PBEsol. The functional is meta-GGA SCAN.

Properties
* size of the total moment: 0.0000 μB/atom
* crystal system: cubic
* uncorrected energy: -41.823 eV/atom
* space-group type: No. 225
* formation enthalpy at 0 K: 0.805 eV per atom
* V: 72.6 Å³ per cell

```
NaTa2Nb
1.0
4.682 0.000 0.000
2.341 4.055 0.000
2.341 1.352 3.823
Na Nb Ta
1 1 2
Direct
0.000 0.000 0.000
0.500 0.500 0.500
0.250 0.250 0.250
0.750 0.750 0.750
```



This record from Alexandria via LeMat-Bulk describes a crystal of Y2POsBr relaxed with PBEsol. The functional is meta-GGA SCAN.

Properties
* size of the total moment: 0.1817 μB/atom
* crystal system: tetragonal
* uncorrected energy: -31.002 eV/atom
* space-group type: No. 123
* V: 126.2 Å³ per cell
* uncorrected formation energy: 233 kJ/mol of formula units

```
Y2POsBr
1.0
4.615 0.000 0.000
0.000 5.230 0.000
0.000 0.000 5.230
Y P Os Br
2 1 1 1
Direct
0.000 0.000 0.500
0.000 0.500 0.000
0.000 0.000 0.000
0.500 0.500 0.500
0.500 0.000 0.000
```



This record from Alexandria via LeMat-Bulk describes a crystal of TbGePt relaxed with PBEsol. The functional is meta-GGA SCAN.

Properties
* size of the total moment: 0.0000 μB/atom
* crystal system: orthorhombic
* uncorrected energy: -46.714 eV/atom
* space-group type: No. 62
* formation enthalpy at 0 K: -1.367 eV per atom
* V: 227.5 Å³ per cell

```
TbGePt
1.0
4.339 0.000 0.000
0.000 6.963 0.000
0.000 0.000 7.531
Tb Ge Pt
4 4 4
Direct
0.250 0.497 0.797
0.750 0.003 0.297
0.250 0.997 0.703
0.750 0.503 0.203
0.750 0.188 0.912
0.750 0.688 0.588
0.250 0.812 0.088
0.250 0.312 0.412
0.750 0.296 0.585
0.750 0.796 0.915
0.250 0.204 0.085
0.250 0.704 0.415
```



This record from Alexandria via LeMat-Bulk describes a crystal of YHf2Co relaxed with PBEsol. The functional is meta-GGA SCAN.

Properties
* size of the total moment: 0.0015 μB/atom
* crystal system: cubic
* uncorrected energy: -42.221 eV/atom
* space-group type: No. 225
* formation enthalpy at 0 K: 0.402 eV per atom
* V: 74.1 Å³ per cell

```
YHf2Co
1.0
-1.722 -1.565 4.101
2.939 -1.405 3.408
0.492 2.594 3.907
Y Co Hf
1 1 2
Direct
0.500 0.500 0.500
0.000 0.000 0.000
0.250 0.250 0.250
0.750 0.750 0.750
```



This record from Alexandria via LeMat-Bulk describes a crystal of CdGaSbTe2 relaxed with PBEsol. The functional is meta-GGA SCAN.

Properties
* size of the total moment: 0.0000 μB/atom
* crystal system: tetragonal
* uncorrected energy: -31.135 eV/atom
* space-group type: No. 123
* V: 166.7 Å³ per cell
* uncorrected formation energy: 275 kJ/mol of formula units

```
CdGaSbTe2
1.0
5.352 0.000 0.000
0.000 5.582 0.000
0.000 0.000 5.582
Sb Te Ga Cd
1 2 1 1
Direct
0.500 0.000 0.000
0.000 0.000 0.500
0.000 0.500 0.000
0.500 0.500 0.500
0.000 0.000 0.000
```